Arrangement P

Here is a relaxed KPbI2Cl crystal from Alexandria via LeMat-Bulk. Energies are from PBE-GGA.

Lattice parameters (Å, degrees): 6.3917 6.3917 5.6322 90.00 90.00 90.00
With the nearest neighbours (Å) after each atom.
Element x y z (fractional)
1 K 0.0000 0.0000 0.0000  8 I 4.26, 4 Cl 4.52
2 Pb 0.5000 0.5000 0.5000  2 Cl 2.82
3 I 0.0000 0.5000 0.5000  2 Pb 3.20
4 I 0.5000 0.0000 0.5000  2 Pb 3.20
5 Cl 0.5000 0.5000 0.0000  2 Pb 2.82

Values from the calculation:
The calculation puts the magnetization at 0.000 μB/f.u. The value obtained for the theoretical density is 3.9 g cm⁻³.

***

Arrangement Q

Here is a relaxed KPbI2Cl crystal from Alexandria via LeMat-Bulk. Energies are from PBE-GGA.

Lattice parameters (Å, degrees): 8.0544 8.0544 10.9952 90.00 90.00 146.11
With the nearest neighbours (Å) after each atom.
Element x y z (fractional)
1 K 0.2147 0.7853 0.7500  2 Cl 3.21, 2 I 3.59
2 K 0.7853 0.2147 0.2500  2 Cl 3.21, 2 I 3.59
3 Pb 0.5000 0.5000 0.0000  2 Cl 2.97, 4 I 3.26
4 Pb 0.5000 0.5000 0.5000  2 Cl 2.97, 4 I 3.26
5 I 0.1406 0.8594 0.0595  2 Pb 3.26, 1 K 3.59
6 I 0.1406 0.8594 0.4405  2 Pb 3.26, 1 K 3.59
7 I 0.8594 0.1406 0.5595  2 Pb 3.26, 1 K 3.59
8 I 0.8594 0.1406 0.9405  2 Pb 3.26, 1 K 3.59
9 Cl 0.4276 0.5724 0.2500  2 Pb 2.97, 2 K 3.21
10 Cl 0.5724 0.4276 0.7500  2 Pb 2.97, 2 K 3.21

Values from the calculation:
The calculation puts the magnetization at 0.000 μB/f.u. The value obtained for the theoretical density is 4.5 g cm⁻³.

***

Winner for stability: arrangement Q

***

Arrangement P

Here is a relaxed KSrI2Cl crystal from Alexandria via LeMat-Bulk. Energies are from PBE-GGA.

Lattice parameters (Å, degrees): 8.1282 8.1282 10.9261 90.00 90.00 145.70
With the nearest neighbours (Å) after each atom.
Element x y z (fractional)
1 K 0.2155 0.7845 0.7500  2 Cl 3.28, 2 I 3.59
2 K 0.7845 0.2155 0.2500  2 Cl 3.28, 2 I 3.59
3 Sr 0.5000 0.5000 0.0000  2 Cl 2.95
4 Sr 0.5000 0.5000 0.5000  2 Cl 2.95
5 I 0.1403 0.8597 0.0603  2 Sr 3.31, 1 K 3.59
6 I 0.1403 0.8597 0.4397  2 Sr 3.31, 1 K 3.59
7 I 0.8597 0.1403 0.5603  2 Sr 3.31, 1 K 3.59
8 I 0.8597 0.1403 0.9397  2 Sr 3.31, 1 K 3.59
9 Cl 0.4289 0.5711 0.2500  2 Sr 2.95, 2 K 3.28
10 Cl 0.5711 0.4289 0.7500  2 Sr 2.95, 2 K 3.28

Values from the calculation:
The calculation puts the magnetization at 0.000 μB/f.u. The value obtained for the theoretical density is 3.4 g cm⁻³.

***

Arrangement Q

Here is a relaxed KSrI2Cl crystal from Alexandria via LeMat-Bulk. Energies are from PBE-GGA.

Lattice parameters (Å, degrees): 6.4938 6.4938 5.6009 90.00 90.00 90.00
With the nearest neighbours (Å) after each atom.
Element x y z (fractional)
1 K 0.0000 0.0000 0.0000  8 I 4.29, 4 Cl 4.59
2 Sr 0.5000 0.5000 0.5000  2 Cl 2.80
3 I 0.0000 0.5000 0.5000  2 Sr 3.25
4 I 0.5000 0.0000 0.5000  2 Sr 3.25
5 Cl 0.5000 0.5000 0.0000  2 Sr 2.80

Values from the calculation:
The calculation puts the magnetization at 0.000 μB/f.u. The value obtained for the theoretical density is 2.9 g cm⁻³.

***

Winner for stability: arrangement P

***

Arrangement P

Here is a relaxed KTe2ICl crystal from Alexandria via LeMat-Bulk. Energies are from PBE-GGA.

Lattice parameters (Å, degrees): 5.3242 5.3242 7.8309 90.00 90.00 90.00
With the nearest neighbours (Å) after each atom.
Element x y z (fractional)
1 K 0.0000 0.0000 0.0000  4 I 3.76
2 Te 0.0000 0.5000 0.5000  2 Cl 2.66
3 Te 0.5000 0.0000 0.5000  2 Cl 2.66
4 I 0.5000 0.5000 0.0000  4 K 3.76, 2 Cl 3.92
5 Cl 0.5000 0.5000 0.5000  4 Te 2.66

Values from the calculation:
The calculation puts the magnetization at 1.542 μB/f.u. The value obtained for the theoretical density is 3.4 g cm⁻³.

***

Arrangement Q

Here is a relaxed KTe2ICl crystal from Alexandria via LeMat-Bulk. Energies are from PBE-GGA.

Lattice parameters (Å, degrees): 6.8984 6.8984 6.3664 90.00 90.00 90.00
With the nearest neighbours (Å) after each atom.
Element x y z (fractional)
1 K 0.0000 0.0000 0.0000  2 I 3.18, 4 Te 3.45
2 Te 0.0000 0.5000 0.0000  2 K 3.45
3 Te 0.5000 0.0000 0.0000  2 K 3.45
4 I 0.0000 0.0000 0.5000  2 K 3.18
5 Cl 0.5000 0.5000 0.5000  8 Te 4.69, 4 I 4.88

Values from the calculation:
The calculation puts the magnetization at 5.035 μB/f.u. The value obtained for the theoretical density is 2.5 g cm⁻³.

***

Winner for stability: arrangement P

***

Arrangement P

Here is a relaxed KTlICl crystal from Alexandria via LeMat-Bulk. Energies are from PBE-GGA.

Lattice parameters (Å, degrees): 8.2158 8.2158 8.2158 90.00 90.00 90.00
With the nearest neighbours (Å) after each atom.
Element x y z (fractional)
1 K 0.0000 0.0000 0.0000  4 Cl 3.56, 4 I 3.56
2 K 0.0000 0.5000 0.5000  4 Cl 3.56, 4 I 3.56
3 K 0.5000 0.0000 0.5000  4 Cl 3.56, 4 I 3.56
4 K 0.5000 0.5000 0.0000  4 Cl 3.56, 4 I 3.56
5 Tl 0.0000 0.0000 0.5000  4 Cl 3.56, 4 I 3.56
6 Tl 0.0000 0.5000 0.0000  4 Cl 3.56, 4 I 3.56
7 Tl 0.5000 0.0000 0.0000  4 Cl 3.56, 4 I 3.56
8 Tl 0.5000 0.5000 0.5000  4 Cl 3.56, 4 I 3.56
9 I 0.2500 0.2500 0.2500  4 Tl 3.56, 4 K 3.56
10 I 0.2500 0.7500 0.7500  4 Tl 3.56, 4 K 3.56
11 I 0.7500 0.2500 0.7500  4 Tl 3.56, 4 K 3.56
12 I 0.7500 0.7500 0.2500  4 Tl 3.56, 4 K 3.56
13 Cl 0.2500 0.2500 0.7500  4 K 3.56, 4 Tl 3.56
14 Cl 0.2500 0.7500 0.2500  4 K 3.56, 4 Tl 3.56
15 Cl 0.7500 0.2500 0.2500  4 K 3.56, 4 Tl 3.56
16 Cl 0.7500 0.7500 0.7500  4 K 3.56, 4 Tl 3.56

Values from the calculation:
The calculation puts the magnetization at 0.000 μB/f.u. The value obtained for the theoretical density is 4.9 g cm⁻³.

***

Arrangement Q

Here is a relaxed KTlICl crystal from Alexandria via LeMat-Bulk. Energies are from PBE-GGA.

Lattice parameters (Å, degrees): 4.6917 4.6917 24.6509 90.00 90.00 120.00
With the nearest neighbours (Å) after each atom.
Element x y z (fractional)
1 K 0.0000 0.0000 0.0000  3 Cl 3.15
2 K 0.3333 0.6667 0.6667  3 Cl 3.15
3 K 0.6667 0.3333 0.3333  3 Cl 3.15
4 Tl 0.0000 0.0000 0.8150  3 Cl 3.40, 3 I 3.48
5 Tl 0.3333 0.6667 0.4817  3 Cl 3.40, 3 I 3.48
6 Tl 0.6667 0.3333 0.1484  3 Cl 3.40, 3 I 3.48
7 I 0.0000 0.0000 0.5706  3 Tl 3.48, 3 K 3.60
8 I 0.3333 0.6667 0.2373  3 Tl 3.48, 3 K 3.60
9 I 0.6667 0.3333 0.9040  3 Tl 3.48, 3 K 3.60
10 Cl 0.0000 0.0000 0.3986  3 K 3.15, 3 Tl 3.40
11 Cl 0.3333 0.6667 0.0653  3 K 3.15, 3 Tl 3.40
12 Cl 0.6667 0.3333 0.7320  3 K 3.15, 3 Tl 3.40

Values from the calculation:
The calculation puts the magnetization at 0.000 μB/f.u. The value obtained for the theoretical density is 4.3 g cm⁻³.

***

Winner for stability: arrangement Q